A geometry-optimized NdSm4Ho3Te8 structure, computed with PBE.

a b c (Å): 8.845 8.845 8.845
angles (deg): 59.69 59.69 59.69
Sites, in units of the cell vectors:
Nd: 0.000 0.000 0.000
Sm: 0.000 0.000 0.500
Sm: 0.000 0.500 0.000
Sm: 0.500 0.000 0.000
Sm: 0.500 0.500 0.500
Ho: 0.000 0.500 0.500
Ho: 0.500 0.000 0.500
Ho: 0.500 0.500 0.000
Te: 0.251 0.251 0.742
Te: 0.251 0.742 0.251
Te: 0.253 0.253 0.253
Te: 0.258 0.749 0.749
Te: 0.742 0.251 0.251
Te: 0.747 0.747 0.747
Te: 0.749 0.258 0.749
Te: 0.749 0.749 0.258

Values from the calculation:
SG: R-3m (166)
Raw total energy (eV per atom): -5.238
Formation energy from raw total energies (meV per atom): -1331

A geometry-optimized Pm2InRhO6 structure, computed with PBE.

a b c (Å): 5.548 5.910 9.618
angles (deg): 90.00 123.77 90.00
Sites, in units of the cell vectors:
Pm: 0.225 0.071 0.249
Pm: 0.225 0.429 0.749
Pm: 0.775 0.571 0.251
Pm: 0.775 0.929 0.751
In: 0.500 0.000 0.000
In: 0.500 0.500 0.500
Rh: 0.000 0.000 0.500
Rh: 0.000 0.500 0.000
O: 0.120 0.200 0.937
O: 0.120 0.300 0.437
O: 0.243 0.693 0.938
O: 0.243 0.807 0.438
O: 0.367 0.048 0.742
O: 0.367 0.452 0.242
O: 0.633 0.548 0.758
O: 0.633 0.952 0.258
O: 0.757 0.193 0.562
O: 0.757 0.307 0.062
O: 0.880 0.700 0.563
O: 0.880 0.800 0.063

Values from the calculation:
SG: P2_1/c (14)
Raw total energy (eV per atom): -7.200
Formation energy from raw total energies (meV per atom): -2266

A geometry-optimized La12Tl3C5 structure, computed with PBE.

a b c (Å): 14.648 14.648 14.648
angles (deg): 109.47 109.47 109.47
Sites, in units of the cell vectors:
La: 0.016 0.199 0.113
La: 0.016 0.317 0.903
La: 0.086 0.699 0.683
La: 0.086 0.887 0.403
La: 0.097 0.613 0.414
La: 0.097 0.984 0.683
La: 0.113 0.016 0.199
La: 0.113 0.597 0.914
La: 0.183 0.199 0.586
La: 0.183 0.484 0.597
La: 0.199 0.113 0.016
La: 0.199 0.586 0.183
La: 0.301 0.317 0.914
La: 0.301 0.484 0.387
La: 0.317 0.903 0.016
La: 0.317 0.914 0.301
La: 0.387 0.301 0.484
La: 0.387 0.586 0.903
La: 0.403 0.086 0.887
La: 0.403 0.817 0.516
La: 0.414 0.097 0.613
La: 0.414 0.817 0.801
La: 0.484 0.387 0.301
La: 0.484 0.597 0.183
La: 0.516 0.403 0.817
La: 0.516 0.613 0.699
La: 0.586 0.183 0.199
La: 0.586 0.903 0.387
La: 0.597 0.183 0.484
La: 0.597 0.914 0.113
La: 0.613 0.414 0.097
La: 0.613 0.699 0.516
La: 0.683 0.086 0.699
La: 0.683 0.097 0.984
La: 0.699 0.516 0.613
La: 0.699 0.683 0.086
La: 0.801 0.414 0.817
La: 0.801 0.887 0.984
La: 0.817 0.516 0.403
La: 0.817 0.801 0.414
La: 0.887 0.403 0.086
La: 0.887 0.984 0.801
La: 0.903 0.016 0.317
La: 0.903 0.387 0.586
La: 0.914 0.113 0.597
La: 0.914 0.301 0.317
La: 0.984 0.683 0.097
La: 0.984 0.801 0.887
Tl: 0.125 0.250 0.375
Tl: 0.125 0.375 0.750
Tl: 0.250 0.375 0.125
Tl: 0.250 0.875 0.625
Tl: 0.375 0.125 0.250
Tl: 0.375 0.750 0.125
Tl: 0.625 0.250 0.875
Tl: 0.625 0.875 0.750
Tl: 0.750 0.125 0.375
Tl: 0.750 0.625 0.875
Tl: 0.875 0.625 0.250
Tl: 0.875 0.750 0.625
C: 0.000 0.000 0.000
C: 0.000 0.000 0.500
C: 0.000 0.500 0.000
C: 0.000 0.500 0.500
C: 0.125 0.750 0.875
C: 0.125 0.875 0.250
C: 0.250 0.125 0.875
C: 0.250 0.625 0.375
C: 0.375 0.250 0.625
C: 0.375 0.625 0.750
C: 0.500 0.000 0.000
C: 0.500 0.000 0.500
C: 0.500 0.500 0.000
C: 0.500 0.500 0.500
C: 0.625 0.375 0.250
C: 0.625 0.750 0.375
C: 0.750 0.375 0.625
C: 0.750 0.875 0.125
C: 0.875 0.125 0.750
C: 0.875 0.250 0.125

Values from the calculation:
SG: Ia-3d (230)
Calculated formation energy (eV per atom): -0.06
Raw total energy (eV per atom): -5.679

A geometry-optimized As3Se5 structure, computed with PBE.

a b c (Å): 8.625 8.625 8.307
angles (deg): 97.48 97.48 130.30
Sites, in units of the cell vectors:
As: 0.000 0.000 0.000
As: 0.058 0.317 0.623
As: 0.317 0.058 0.623
As: 0.443 0.994 0.146
As: 0.549 0.549 0.373
As: 0.994 0.443 0.146
Se: 0.126 0.901 0.210
Se: 0.211 0.421 0.934
Se: 0.276 0.690 0.775
Se: 0.348 0.718 0.345
Se: 0.400 0.400 0.617
Se: 0.421 0.211 0.934
Se: 0.690 0.276 0.775
Se: 0.718 0.348 0.345
Se: 0.853 0.853 0.570
Se: 0.901 0.126 0.210

Values from the calculation:
SG: Cm (8)
Raw total energy (eV per atom): -3.859
Formation energy from raw total energies (meV per atom): 62